1.
A plane-wave DFT calculation with GGA-PBE was carried out for Tm3Cd2Cu after structural relaxation.

Unit cell a=3.533 b=3.533 c=11.296 alpha=90.00 beta=90.00 gamma=90.00
Positions (direct):
Tm (0.000, 0.000, 0.645)
Cu (0.500, 0.500, 0.500)
Cd (0.500, 0.500, 0.175)
Tm (0.000, 0.000, 0.000)
Cd (0.500, 0.500, 0.825)
Tm (0.000, 0.000, 0.355)

## Properties
* E_form: -0.292 eV per atom
* space group: P4/mmm, No. 123
* spin magnetization: 0.000 Bohr magnetons per cell

***

2.
A plane-wave DFT calculation with GGA-PBE was carried out for Cs3Np3PbSe8 after structural relaxation.

Unit cell a=8.603 b=8.608 c=9.736 alpha=116.22 beta=89.98 gamma=120.08
Each line ends with the local moment (μB).
Positions (direct):
Se (0.760, 0.519, 0.315)  -0.10
Se (0.241, 0.945, 0.685)  -0.10
Se (0.728, 0.456, 0.683)  -0.09
Cs (0.000, 0.000, 0.000)  0.00
Cs (0.000, 0.500, 0.000)  0.00
Se (0.240, 0.481, 0.685)  -0.10
Np (0.000, 0.500, 0.500)  3.60
Np (0.500, 0.000, 0.500)  3.60
Pb (0.000, 0.000, 0.500)  -0.01
Se (0.759, 0.055, 0.315)  -0.10
Cs (0.500, 0.500, 0.000)  0.00
Se (0.704, 0.945, 0.685)  -0.10
Np (0.500, 0.500, 0.500)  3.60
Se (0.272, 0.544, 0.317)  -0.09
Se (0.296, 0.055, 0.315)  -0.10

## Properties
* ΔE_f (raw): -1148 meV/atom
* space group: P-1, No. 2
* spin magnetization: 10.001 Bohr magnetons per cell

***

3.
A plane-wave DFT calculation with GGA-PBE was carried out for La3ZrTl4Se8 after structural relaxation.

Unit cell a=8.578 b=9.212 c=8.578 alpha=117.76 beta=120.00 gamma=90.00
Each line ends with the local moment (μB).
Positions (direct):
Se (0.776, 0.293, 0.017)  0.00
La (0.000, 0.500, 0.500)  0.04
Tl (0.500, 0.000, 0.000)  0.01
Se (0.739, 0.718, 0.478)  0.00
Se (0.224, 0.707, 0.983)  0.00
Se (0.261, 0.282, 0.522)  0.00
Tl (0.500, 0.000, 0.500)  0.00
Tl (0.000, 0.000, 0.000)  0.00
Se (0.760, 0.707, 0.983)  0.00
Tl (0.000, 0.000, 0.500)  0.00
Se (0.224, 0.707, 0.447)  0.00
La (0.500, 0.500, 0.500)  0.04
Se (0.776, 0.293, 0.553)  0.00
La (0.500, 0.500, 0.000)  0.04
Zr (0.000, 0.500, 0.000)  0.40
Se (0.240, 0.293, 0.017)  0.00

## Properties
* ΔE_f (raw): -1300 meV/atom
* space group: R-3m, No. 166
* spin magnetization: 0.873 Bohr magnetons per cell

***

4.
A plane-wave DFT calculation with GGA-PBE was carried out for Tm2GaCl after structural relaxation.

Unit cell a=4.101 b=4.101 c=6.974 alpha=72.90 beta=72.90 gamma=60.00
Positions (direct):
Cl (0.500, 0.500, 0.500)
Tm (0.743, 0.743, 0.770)
Tm (0.257, 0.257, 0.230)
Ga (0.000, 0.000, 0.000)

## Properties
* ΔE_f (raw): -857 meV/atom
* space group: R-3m, No. 166
* distance to the lowest polymorph of the same formula: 0.00 eV/f.u.
* spin magnetization: 0.000 Bohr magnetons per cell

***

5.
A plane-wave DFT calculation with GGA-PBE was carried out for Tb2Pr2Sm after structural relaxation.

Unit cell a=9.309 b=9.309 c=6.436 alpha=122.51 beta=122.51 gamma=91.86
Positions (direct):
Pr (0.740, 0.615, 0.436)
Sm (0.070, 0.930, 0.250)
Pr (0.385, 0.260, 0.064)
Tb (0.319, 0.681, 0.250)
Pr (0.260, 0.385, 0.564)
Sm (0.930, 0.070, 0.750)
Pr (0.615, 0.740, 0.936)
Tb (0.681, 0.319, 0.750)
Tb (0.197, 0.803, 0.750)
Tb (0.803, 0.197, 0.250)

## Properties
* E_form: 0.266 eV per atom
* space group: C2/c, No. 15
* distance to the lowest polymorph of the same formula: 1.19 eV/f.u.
* spin magnetization: 0.000 Bohr magnetons per cell

***

6.
A plane-wave DFT calculation with GGA-PBE was carried out for Ac5NiPb4 after structural relaxation.

Unit cell a=6.816 b=8.175 c=8.175 alpha=79.99 beta=65.36 gamma=65.36
Positions (direct):
Ni (0.002, 0.000, 0.000)
Ac (0.260, 0.842, 0.639)
Pb (0.428, 0.393, 0.753)
Pb (0.574, 0.607, 0.247)
Ac (0.900, 0.361, 0.842)
Ac (0.501, 0.000, 0.000)
Ac (0.742, 0.158, 0.361)
Pb (0.821, 0.753, 0.607)
Pb (0.181, 0.247, 0.393)
Ac (0.102, 0.639, 0.158)

## Properties
* E_form: -0.302 eV per atom
* space group: I4, No. 79
* spin magnetization: 0.000 Bohr magnetons per cell

***

7.
A plane-wave DFT calculation with GGA-PBE was carried out for CaPr4NdS8 after structural relaxation.

Unit cell a=8.402 b=8.402 c=8.390 alpha=59.95 beta=59.95 gamma=60.00
Positions (direct):
S (0.758, 0.758, 0.726)
S (0.774, 0.241, 0.744)
Pr (0.002, 0.002, 0.502)
S (0.224, 0.760, 0.256)
Ca (0.375, 0.375, 0.875)
S (0.242, 0.242, 0.274)
Pr (0.002, 0.495, 0.502)
S (0.241, 0.774, 0.744)
S (0.241, 0.241, 0.744)
S (0.760, 0.760, 0.256)
Pr (0.495, 0.002, 0.502)
Nd (0.002, 0.002, 0.994)
S (0.760, 0.224, 0.256)
Pr (0.625, 0.625, 0.126)

## Properties
* ΔE_f (raw): -1957 meV/atom
* space group: R3m, No. 160
* spin magnetization: 0.000 Bohr magnetons per cell

***

8.
A plane-wave DFT calculation with GGA-PBE was carried out for AgHgSe2 after structural relaxation.

Unit cell a=4.009 b=4.009 c=5.655 alpha=90.00 beta=90.00 gamma=90.00
Positions (direct):
Hg (0.500, 0.500, 0.875)
Ag (0.000, 0.000, 0.375)
Se (0.000, 0.000, 0.875)
Se (0.500, 0.500, 0.375)

## Properties
* ΔE_f (raw): -5 meV/atom
* space group: P4/mmm, No. 123
* spin magnetization: 0.000 Bohr magnetons per cell

***

9.
A plane-wave DFT calculation with GGA-PBE was carried out for LaPW after structural relaxation.

Unit cell a=4.559 b=4.559 c=4.559 alpha=60.00 beta=60.00 gamma=60.00
Positions (direct):
W (0.000, 0.000, 0.000)
P (0.750, 0.750, 0.750)
La (0.500, 0.500, 0.500)

## Properties
* E_form: 0.304 eV per atom
* space group: F-43m, No. 216
* distance to the lowest polymorph of the same formula: 1.78 eV/f.u.
* spin magnetization: 0.000 Bohr magnetons per cell

***

10.
A plane-wave DFT calculation with GGA-PBE was carried out for ZnFe2Co after structural relaxation.

Unit cell a=4.387 b=4.387 c=2.624 alpha=89.96 beta=89.96 gamma=108.44
Each line ends with the local moment (μB).
Positions (direct):
Co (0.000, 0.500, 0.500)  1.59
Zn (0.500, 0.000, 0.500)  -0.06
Fe (0.500, 0.500, 0.000)  2.54
Fe (0.000, 0.000, 0.000)  2.54

## Properties
* E_form: 0.025 eV per atom
* space group: Cmmm, No. 65
* spin magnetization: 6.546 Bohr magnetons per cell

***

11.
A plane-wave DFT calculation with GGA-PBE was carried out for CoHPdRh2 after structural relaxation.

Unit cell a=3.872 b=3.872 c=3.846 alpha=90.00 beta=90.00 gamma=90.00
Each line ends with the local moment (μB).
Positions (direct):
Pd (0.500, 0.500, 0.500)  0.28
H (0.000, 0.000, 0.000)  -0.01
Rh (0.500, 0.000, 0.000)  0.48
Co (0.000, 0.000, 0.500)  1.85
Rh (0.000, 0.500, 0.000)  0.48

## Properties
* space group: P4/mmm, No. 123
* distance to the lowest polymorph of the same formula: 0.00 eV/f.u.
* spin magnetization: 2.989 Bohr magnetons per cell

***

12.
A plane-wave DFT calculation with GGA-PBE was carried out for Cs2BiAu after structural relaxation.

Unit cell a=9.856 b=9.856 c=9.856 alpha=94.51 beta=94.51 gamma=147.45
Positions (direct):
Au (0.750, 0.250, 0.500)
Au (0.500, 0.500, 0.000)
Bi (0.000, 0.000, 0.000)
Cs (0.625, 0.293, 0.168)
Cs (0.707, 0.875, 0.332)
Bi (0.250, 0.750, 0.500)
Cs (0.125, 0.457, 0.832)
Cs (0.543, 0.375, 0.668)

## Properties
* E_form: -0.262 eV per atom
* space group: I-42d, No. 122
* distance to the lowest polymorph of the same formula: 0.73 eV/f.u.
* spin magnetization: 0.001 Bohr magnetons per cell

***

13.
A plane-wave DFT calculation with GGA-PBE was carried out for YZrBr2 after structural relaxation.

Unit cell a=3.599 b=3.599 c=9.586 alpha=90.00 beta=90.00 gamma=124.74
Positions (direct):
Br (0.000, 0.000, 0.989)
Y (0.500, 0.500, 0.250)
Zr (0.500, 0.500, 0.750)
Br (0.000, 0.000, 0.511)

## Properties
* ΔE_f (raw): -580 meV/atom
* space group: Cmmm, No. 65
* distance to the lowest polymorph of the same formula: 1.92 eV/f.u.
* spin magnetization: 0.000 Bohr magnetons per cell

***

14.
A plane-wave DFT calculation with GGA-PBE was carried out for RbSc3Zn after structural relaxation.

Unit cell a=5.343 b=5.343 c=5.343 alpha=90.00 beta=90.00 gamma=90.00
Each line ends with the local moment (μB).
Positions (direct):
Sc (0.000, 0.000, 0.500)  0.19
Sc (0.500, 0.000, 0.000)  0.37
Rb (0.500, 0.500, 0.500)  0.04
Sc (0.000, 0.500, 0.000)  0.25
Zn (0.000, 0.000, 0.000)  0.02

## Properties
* E_form: 0.491 eV per atom
* space group: Pm-3m, No. 221
* distance to the lowest polymorph of the same formula: 0.00 eV/f.u.
* spin magnetization: 1.705 Bohr magnetons per cell

***

15.
A plane-wave DFT calculation with GGA-PBE was carried out for Sn5PbBr12 after structural relaxation.

Unit cell a=7.612 b=7.645 c=14.005 alpha=89.97 beta=89.95 gamma=60.14
Positions (direct):
Br (0.339, 0.000, 0.119)
Br (0.000, 0.662, 0.119)
Br (0.832, 0.667, 0.618)
Pb (0.000, 0.000, 0.000)
Sn (0.667, 0.667, 0.000)
Br (0.166, 0.000, 0.618)
Sn (0.500, 0.000, 0.500)
Sn (0.833, 0.333, 0.500)
Br (0.168, 0.333, 0.382)
Br (0.661, 0.000, 0.881)
Br (0.501, 0.667, 0.382)
Br (0.663, 0.338, 0.119)
Br (0.834, 0.000, 0.382)
Sn (0.333, 0.333, 0.000)
Br (0.499, 0.333, 0.618)
Br (0.337, 0.662, 0.881)
Sn (0.167, 0.667, 0.500)
Br (0.000, 0.338, 0.881)

## Properties
* ΔE_f (raw): -782 meV/atom
* space group: C2/m, No. 12
* spin magnetization: 0.000 Bohr magnetons per cell

***

16.
A plane-wave DFT calculation with GGA-PBE was carried out for KNiAs2Se after structural relaxation.

Unit cell a=4.636 b=4.636 c=5.370 alpha=90.00 beta=90.00 gamma=90.00
Each line ends with the local moment (μB).
Positions (direct):
Ni (0.000, 0.000, 0.000)  0.09
As (0.000, 0.500, 0.000)  0.06
Se (0.000, 0.000, 0.500)  -0.01
As (0.500, 0.000, 0.000)  0.06
K (0.500, 0.500, 0.500)  0.00

## Properties
* ΔE_f (raw): -24 meV/atom
* space group: P4/mmm, No. 123
* distance to the lowest polymorph of the same formula: 0.00 eV/f.u.
* spin magnetization: 0.324 Bohr magnetons per cell

***

The following total energy values (in eV for the cell shown) correspond, in order, to the records above: -21.10; -90.18; -81.47; -17.25; -44.42; -44.17; -86.30; -10.14; -22.38; -25.21; -30.00; -19.82; -20.68; -18.78; -57.88; -19.78.